First-principles (PBE) data for an optimized crystal structure of NaZnCr2W, as listed in Alexandria via LeMat-Bulk.

```
NaZnCr2W
1.0
4.482 0.000 0.000
0.000 4.166 0.000
0.000 0.000 4.482
Na Cr Zn W
1 2 1 1
Cartesian
0.000 2.083 0.000
0.000 0.000 2.241
2.241 0.000 0.000
0.000 0.000 0.000
2.241 2.083 2.241
```

Summary:
* energy: -24.91 eV per cell
* symmetry: P4/mmm, No. 123

---

First-principles (PBE) data for an optimized crystal structure of Na2ZnCrW, as listed in Alexandria via LeMat-Bulk.

```
Na2ZnCrW
1.0
-2.284 3.914 3.015
-1.562 -3.401 3.232
4.632 0.541 2.807
Na Zn W Cr
2 1 1 1
Cartesian
-1.142 1.957 1.508
2.316 0.270 1.404
-0.781 -1.701 1.616
0.393 0.527 4.527
0.000 0.000 0.000
```

Summary:
* energy: -16.97 eV per cell
* symmetry: P4/mmm, No. 123

---

First-principles (PBE) data for an optimized crystal structure of NaY2Cr, as listed in Alexandria via LeMat-Bulk.

```
NaY2Cr
1.0
0.000 3.631 3.631
3.631 0.000 3.631
3.631 3.631 0.000
Cr Y Na
1 2 1
Cartesian
3.631 3.631 3.631
1.815 1.815 1.815
5.446 5.446 5.446
0.000 0.000 0.000
```

Summary:
* ΔE to the lowest computed polymorph: 11 meV/atom
* symmetry: Fm-3m, No. 225